<i>
Density functional theory data (PBE-GGA) for crystalline ScInPb at its relaxed geometry.

Lattice parameters (Å, degrees): 5.122 5.122 3.394 90.00 90.00 120.00
Atoms (fractional coordinates):
Sc1 0.000 0.000 0.000
In1 0.667 0.333 0.355
Pb1 0.333 0.667 0.630

Summary:
SG   P3m1, No. 156
DOS at the Fermi energy   0.678 states/eV per atom



<ii>
Density functional theory data (PBE-GGA) for crystalline ScInPb at its relaxed geometry.

Lattice parameters (Å, degrees): 9.264 8.575 7.112 71.70 61.50 46.80
Atoms (fractional coordinates):
Sc1 0.054 0.696 0.696
Sc2 0.304 0.946 0.946
Sc3 0.696 0.054 0.054
Sc4 0.946 0.304 0.304
In1 0.051 0.051 0.699
In2 0.301 0.301 0.949
In3 0.699 0.699 0.051
In4 0.949 0.949 0.301
Pb1 0.000 0.500 0.500
Pb2 0.500 0.000 0.500
Pb3 0.500 0.500 0.000
Pb4 0.500 0.500 0.500

Summary:
SG   Fddd, No. 70
DOS at the Fermi energy   0.966 states/eV per atom



<iii>
Density functional theory data (PBE-GGA) for crystalline ScInPb at its relaxed geometry.

Lattice parameters (Å, degrees): 4.962 4.962 4.962 60.00 60.00 60.00
Atoms (fractional coordinates):
Sc1 0.000 0.000 0.000
In1 0.250 0.250 0.250
Pb1 0.750 0.750 0.750

Summary:
SG   F-43m, No. 216
DOS at the Fermi energy   0.361 states/eV per atom



Energies relative to the minimum, meV per atom: <i> 0; <ii> 223; <iii> 36



<i>
Density functional theory data (PBE-GGA) for crystalline Sc2InPb2 at its relaxed geometry.

Lattice parameters (Å, degrees): 6.890 6.890 6.890 136.49 136.49 63.23
Atoms (fractional coordinates):
Sc1 0.250 0.750 0.500
Sc2 0.750 0.250 0.500
In1 0.000 0.000 0.000
Pb1 0.375 0.375 0.000
Pb2 0.625 0.625 0.000

Summary:
SG   I4/mmm, No. 139
DOS at the Fermi energy   0.967 states/eV per atom



<ii>
Density functional theory data (PBE-GGA) for crystalline Sc2InPb2 at its relaxed geometry.

Lattice parameters (Å, degrees): 8.816 8.816 3.361 90.00 90.00 90.00
Atoms (fractional coordinates):
Sc1 0.138 0.362 0.000
Sc2 0.362 0.862 0.000
Sc3 0.638 0.138 0.000
Sc4 0.862 0.638 0.000
In1 0.000 0.000 0.500
In2 0.500 0.500 0.500
Pb1 0.160 0.660 0.500
Pb2 0.340 0.160 0.500
Pb3 0.660 0.840 0.500
Pb4 0.840 0.340 0.500

Summary:
SG   P4/mbm, No. 127
DOS at the Fermi energy   1.037 states/eV per atom



<iii>
Density functional theory data (PBE-GGA) for crystalline Sc2InPb2 at its relaxed geometry.

Lattice parameters (Å, degrees): 8.125 8.125 3.922 90.00 90.00 90.00
Atoms (fractional coordinates):
Sc1 0.138 0.362 0.000
Sc2 0.362 0.862 0.000
Sc3 0.638 0.138 0.000
Sc4 0.862 0.638 0.000
In1 0.000 0.000 0.000
In2 0.500 0.500 0.000
Pb1 0.168 0.668 0.500
Pb2 0.332 0.168 0.500
Pb3 0.668 0.832 0.500
Pb4 0.832 0.332 0.500

Summary:
SG   P4/mbm, No. 127
DOS at the Fermi energy   0.793 states/eV per atom



Energies relative to the minimum, meV per atom: <i> 260; <ii> 7; <iii> 0



<i>
Density functional theory data (PBE-GGA) for crystalline ScInPb3 at its relaxed geometry.

Lattice parameters (Å, degrees): 5.679 5.679 5.679 90.00 90.00 90.00
Atoms (fractional coordinates):
Sc1 0.000 0.000 0.000
In1 0.500 0.500 0.500
Pb1 0.000 0.500 0.500
Pb2 0.500 0.000 0.500
Pb3 0.500 0.500 0.000

Summary:
SG   Pm-3m, No. 221
DOS at the Fermi energy   1.223 states/eV per atom



<ii>
Density functional theory data (PBE-GGA) for crystalline ScInPb3 at its relaxed geometry.

Lattice parameters (Å, degrees): 5.631 5.631 5.631 90.00 90.00 90.00
Atoms (fractional coordinates):
Sc1 0.000 0.000 0.000
In1 0.500 0.500 0.500
Pb1 0.000 0.000 0.500
Pb2 0.000 0.500 0.000
Pb3 0.500 0.000 0.000

Summary:
SG   Pm-3m, No. 221
DOS at the Fermi energy   0.609 states/eV per atom



Energies relative to the minimum, meV per atom: <i> 397; <ii> 0



<i>
Density functional theory data (PBE-GGA) for crystalline TmScInPb at its relaxed geometry.

Lattice parameters (Å, degrees): 5.563 5.563 5.563 129.34 129.34 74.46
Atoms (fractional coordinates):
Tm1 0.000 0.000 0.000
Sc1 0.500 0.500 0.000
In1 0.750 0.250 0.500
Pb1 0.250 0.750 0.500

Summary:
SG   I-4m2, No. 119
DOS at the Fermi energy   0.706 states/eV per atom



<ii>
Density functional theory data (PBE-GGA) for crystalline TmScInPb at its relaxed geometry.

Lattice parameters (Å, degrees): 5.236 5.236 5.236 60.00 60.00 60.00
Atoms (fractional coordinates):
Tm1 0.000 0.000 0.000
Sc1 0.500 0.500 0.500
In1 0.250 0.250 0.250
Pb1 0.750 0.750 0.750

Summary:
SG   F-43m, No. 216
DOS at the Fermi energy   0.986 states/eV per atom



Energies relative to the minimum, meV per atom: <i> 0; <ii> 52